MnInBrF4 | GGA+U | relaxed

**V**: 273.8 Å³/cell
**Electronic total energy**: -4.98 eV per atom
**Space group**: C2/m, No. 12

a b c (Å): 6.609 6.609 7.169
angles (deg): 73.96 73.96 68.07
Site moments in Bohr magnetons follow the coordinates.
Positions (direct):
Br 0.866 0.866 0.788  0.01
Mn 0.240 0.240 0.814  4.67
In 0.633 0.633 0.772  0.02
F 0.653 0.087 0.215  0.02
F 0.578 0.578 0.111  0.01
F 0.347 0.913 0.785  0.02
In 0.367 0.367 0.228  0.02
F 0.913 0.347 0.785  0.02
Br 0.134 0.134 0.212  0.01
F 0.356 0.356 0.522  0.02
Mn 0.760 0.760 0.186  4.67
F 0.644 0.644 0.478  0.02
F 0.087 0.653 0.215  0.02
F 0.422 0.422 0.889  0.01